The following is a DFT calculation (PBE-GGA) of Ba3MgIn2 after structural relaxation.

Output
DOS(E_F) ... 0.66 states/eV/atom
Total magnetization ... 0.00 Bohr magnetons per cell
ΔH_f (0 K) ... -0.28 eV/atom
E above lowest polymorph ... 0.0 meV per atom

Cell and atoms, written as CIF:
```
data_Ba3MgIn2
_cell_length_a 4.2882
_cell_length_b 4.2882
_cell_length_c 13.0321
_cell_angle_alpha 90.00
_cell_angle_beta 90.00
_cell_angle_gamma 90.00
_space_group_name_H-M_alt 'P 4/m m m'
_space_group_IT_number 123
_space_group_name_Hall '-P 4 2'
loop_
_atom_site_label
_atom_site_type_symbol
_atom_site_fract_x
_atom_site_fract_y
_atom_site_fract_z
_atom_site_occupancy
Ba1 Ba 0.0000 0.0000 0.0000 1
Ba2 Ba 0.0000 0.0000 0.3217 1
Mg1 Mg 0.5000 0.5000 0.5000 1
In1 In 0.5000 0.5000 0.1627 1
```